{
  "formula": "BaPaAs2Ir2",
  "functional": "PBE-GGA",
  "state": "relaxed",
  "cell": [[4.249, 0.000, 0.000], [-2.125, 3.680, 0.000], [0.000, 0.000, 8.841]],
  "species": ["Ba", "Pa", "As", "As", "Ir", "Ir"],
  "fractional_positions": [[0.000, 0.000, 0.000], [0.000, 0.000, 0.500], [0.333, 0.667, 0.744], [0.667, 0.333, 0.256], [0.333, 0.667, 0.316], [0.667, 0.333, 0.684]],
  "spacegroup": "P-3m1",
  "energy_ev_per_cell": -43.61,
  "e_form_mev_per_atom": -862
}

{
  "formula": "BaAsIrPd",
  "functional": "PBE-GGA",
  "state": "relaxed",
  "cell": [[4.061, 0.000, 0.000], [0.000, 4.061, 0.000], [0.000, 0.000, 11.487]],
  "species": ["Ba", "Ba", "As", "As", "Ir", "Ir", "Pd", "Pd"],
  "fractional_positions": [[0.250, 0.250, 0.217], [0.750, 0.750, 0.783], [0.250, 0.250, 0.624], [0.750, 0.750, 0.376], [0.250, 0.750, 0.500], [0.750, 0.250, 0.500], [0.250, 0.750, 0.000], [0.750, 0.250, 0.000]],
  "spacegroup": "P4/nmm",
  "energy_ev_per_cell": -45.39,
  "e_form_mev_per_atom": -517
}

{
  "formula": "BaAs2IrPd2",
  "functional": "PBE-GGA",
  "state": "relaxed",
  "cell": [[4.787, 0.000, 0.000], [0.000, 4.787, 0.000], [0.000, 0.000, 6.059]],
  "species": ["Ba", "As", "As", "Ir", "Pd", "Pd"],
  "fractional_positions": [[0.000, 0.000, 0.000], [0.000, 0.500, 0.500], [0.500, 0.000, 0.500], [0.000, 0.000, 0.500], [0.500, 0.500, 0.260], [0.500, 0.500, 0.740]],
  "spacegroup": "P4/mmm",
  "energy_ev_per_cell": -31.77,
  "e_form_mev_per_atom": -216
}

{
  "formula": "BaAsIrPt",
  "functional": "PBE-GGA",
  "state": "relaxed",
  "cell": [[4.032, 0.000, 0.000], [0.000, 4.032, 0.000], [0.000, 0.000, 11.636]],
  "species": ["Ba", "Ba", "As", "As", "Ir", "Ir", "Pt", "Pt"],
  "fractional_positions": [[0.250, 0.250, 0.214], [0.750, 0.750, 0.786], [0.250, 0.250, 0.623], [0.750, 0.750, 0.377], [0.250, 0.750, 0.500], [0.750, 0.250, 0.500], [0.250, 0.750, 0.000], [0.750, 0.250, 0.000]],
  "spacegroup": "P4/nmm",
  "energy_ev_per_cell": -47.46,
  "e_form_mev_per_atom": -564
}